DFT (PBE) results for an optimized crystal structure of MnZn3Pd6.

Results
* space group: R-3m
* total energy: -4.63 eV per atom
* magnetization: 4.3 μB/f.u.

The structure in POSCAR format:
```
MnZn3Pd6
1.0
5.5171 3.1853 2.9364
-5.5171 3.1853 2.9364
0.0000 -6.3706 2.9364
Mn Zn Pd
2 6 12
Cartesian
0.0000 0.0000 0.0000
0.0000 0.0000 4.4047
-1.5185 -0.8767 2.1984
1.5185 -0.8767 2.1984
0.0000 1.7534 2.1984
0.0000 -1.7534 6.6109
-1.5185 0.8767 6.6109
1.5185 0.8767 6.6109
0.0000 -3.8568 2.5220
-3.3400 1.9284 2.5220
-1.4038 -2.4315 4.4047
-2.8076 0.0000 4.4047
-3.3400 -1.9284 6.2873
1.4038 -2.4314 4.4047
-1.4038 2.4314 4.4047
3.3400 1.9284 2.5220
2.8076 0.0000 4.4047
1.4038 2.4314 4.4047
3.3400 -1.9284 6.2873
0.0000 3.8567 6.2873
```